VASP calculation (PBE) on Dy8Y4Zr after structural relaxation. Values from VASP.

- Calculated density: 6407 kg/m3
- Energy of formation: 0.55 eV per atom

```
&SYSTEM
  ibrav = 0, nat = 13, ntyp = 3
/
ATOMIC_SPECIES
Dy 162.50 Dy.upf
Y 88.91 Y.upf
Zr 91.22 Zr.upf
ATOMIC_POSITIONS crystal
Dy 0.245 0.245 0.245
Dy 0.245 0.245 0.753
Dy 0.245 0.753 0.245
Dy 0.247 0.755 0.755
Dy 0.753 0.245 0.245
Dy 0.755 0.247 0.755
Dy 0.755 0.755 0.247
Dy 0.755 0.755 0.755
Y 0.000 0.000 0.000
Y 0.000 0.500 0.500
Y 0.500 0.000 0.500
Y 0.500 0.500 0.000
Zr 0.500 0.500 0.500
CELL_PARAMETERS angstrom
5.441 3.141 4.415
-5.441 3.141 4.415
0.000 -6.282 4.415
```